1.
RePt2Se: optimized geometry, PBEsol.

Output
Calculated volume: 62.9 Å³/cell
E_form (uncorrected): 87 meV per atom

a = 2.7602 Å, b = 2.7602 Å, c = 8.2615 Å
α = 90.00°, β = 90.00°, γ = 90.00°
With the nearest neighbours (Å) after each atom.
Space group P4/mmm (No. 123)
One atom of each set of equivalent atoms:
1 Re 0.0000 0.0000 0.0000 (multiplicity 1)  8 Pt 2.71, 4 Re 2.76
2 Pt 0.5000 0.5000 0.2268 (multiplicity 2)  4 Re 2.71, 4 Pt 2.76, 4 Se 2.98
3 Se 0.0000 0.0000 0.5000 (multiplicity 1)  4 Se 2.76, 8 Pt 2.98

2.
ScBe4Fe: optimized geometry, PBEsol.

Output
Calculated volume: 241.6 Å³/cell
Formation enthalpy at 0 K: -200 meV/atom

a = 6.2280 Å, b = 6.2280 Å, c = 6.2280 Å
α = 90.00°, β = 90.00°, γ = 90.00°
With the nearest neighbours (Å) after each atom.
Space group F-43m (No. 216)
One atom of each set of equivalent atoms:
1 Sc 0.0000 0.0000 0.0000 (multiplicity 4)  12 Be 2.59, 4 Fe 2.70
2 Be 0.1228 0.1228 0.3772 (multiplicity 16)  6 Be 2.16-2.24
3 Fe 0.2500 0.2500 0.7500 (multiplicity 4)  12 Be 2.58, 4 Sc 2.70

3.
Li2ZnMo: optimized geometry, PBEsol.

Output
Calculated volume: 57.0 Å³/cell
Formation enthalpy at 0 K: 454 meV/atom

a = 3.6734 Å, b = 3.6734 Å, c = 4.2231 Å
α = 90.00°, β = 90.00°, γ = 90.00°
With the nearest neighbours (Å) after each atom.
Space group P4/mmm (No. 123)
One atom of each set of equivalent atoms:
1 Li 0.0000 0.5000 0.0000 (multiplicity 2)  4 Li 2.60, 4 Mo 2.80, 4 Zn 2.80
2 Zn 0.0000 0.0000 0.5000 (multiplicity 1)  4 Mo 2.60, 8 Li 2.80
3 Mo 0.5000 0.5000 0.5000 (multiplicity 1)  4 Zn 2.60, 8 Li 2.80

4.
Cs2MgSe: optimized geometry, PBEsol.

Output
Calculated volume: 631.5 Å³/cell
E_form (uncorrected): -449 meV per atom

a = 8.5796 Å, b = 8.5796 Å, c = 8.5796 Å
α = 90.00°, β = 90.00°, γ = 90.00°
With the nearest neighbours (Å) after each atom.
Space group Fm-3m (No. 225)
One atom of each set of equivalent atoms:
1 Cs 0.2500 0.2500 0.2500 (multiplicity 8)  4 Se 3.72, 4 Mg 3.72
2 Mg 0.0000 0.0000 0.0000 (multiplicity 4)  8 Cs 3.72
3 Se 0.0000 0.0000 0.5000 (multiplicity 4)  8 Cs 3.72

5.
LiLaFe2Hg: optimized geometry, PBEsol.

Output
Calculated volume: 109.0 Å³/cell
Formation enthalpy at 0 K: 658 meV/atom

a = 4.9087 Å, b = 4.9087 Å, c = 4.5227 Å
α = 90.00°, β = 90.00°, γ = 90.00°
With the nearest neighbours (Å) after each atom.
Space group P4/mmm (No. 123)
One atom of each set of equivalent atoms:
1 Li 0.0000 0.0000 0.0000 (multiplicity 1)  2 Hg 2.26
2 La 0.5000 0.5000 0.0000 (multiplicity 1)  8 Fe 3.34, 4 Li 3.47
3 Fe 0.0000 0.5000 0.5000 (multiplicity 2)  2 Hg 2.45
4 Hg 0.0000 0.0000 0.5000 (multiplicity 1)  2 Li 2.26, 4 Fe 2.45

6.
La4MgIr: optimized geometry, PBEsol.

Output
Calculated volume: 2852.9 Å³/cell
Formation enthalpy at 0 K: -351 meV/atom
Polymorph energy (0 for the lowest one): 0 meV/atom

a = 14.1829 Å, b = 14.1829 Å, c = 14.1829 Å
α = 90.00°, β = 90.00°, γ = 90.00°
With the nearest neighbours (Å) after each atom.
Space group F-43m (No. 216)
One atom of each set of equivalent atoms:
1 La 0.0000 0.0000 0.1885 (multiplicity 24)  2 Ir 2.91
2 La 0.0593 0.2500 0.7500 (multiplicity 24)  2 Mg 3.44, 2 Ir 3.58, 10 La 3.59-3.83
3 La 0.1543 0.1543 0.3457 (multiplicity 16)  3 Ir 2.91
4 Mg 0.0789 0.0789 0.5789 (multiplicity 16)  3 Mg 3.16, 3 La 3.44
5 Ir 0.1413 0.1413 0.1413 (multiplicity 16)  6 La 2.91

7.
MgCd2Pt: optimized geometry, PBEsol.

Output
Calculated volume: 141.6 Å³/cell
Formation enthalpy at 0 K: -358 meV/atom

a = 4.1142 Å, b = 4.1142 Å, c = 8.3635 Å
α = 90.00°, β = 90.00°, γ = 90.00°
With the nearest neighbours (Å) after each atom.
Space group I-4m2 (No. 119)
One atom of each set of equivalent atoms:
1 Mg 0.0000 0.0000 0.0000 (multiplicity 2)  8 Cd 2.91-2.93, 4 Pt 2.93
2 Cd 0.0000 0.0000 0.5000 (multiplicity 2)  4 Mg 2.91, 4 Cd 2.93, 4 Pt 2.93
3 Cd 0.0000 0.5000 0.7500 (multiplicity 2)  4 Pt 2.91, 4 Cd 2.93, 4 Mg 2.93
4 Pt 0.0000 0.5000 0.2500 (multiplicity 2)  8 Cd 2.91-2.93, 4 Mg 2.93

8.
TcRu2Se: optimized geometry, PBEsol.

Output
Calculated volume: 111.1 Å³/cell
E_form (uncorrected): 227 meV per atom

a = 2.9117 Å, b = 4.3425 Å, c = 8.7860 Å
α = 90.00°, β = 90.00°, γ = 90.00°
With the nearest neighbours (Å) after each atom.
Space group Imm2 (No. 44)
One atom of each set of equivalent atoms:
1 Tc 0.0000 0.0000 0.0000 (multiplicity 2)  2 Se 2.44, 4 Ru 2.66
2 Ru 0.0000 0.0000 0.5556 (multiplicity 2)  2 Se 2.43, 4 Tc 2.66
3 Ru 0.0000 0.5000 0.7746 (multiplicity 2)  4 Se 2.61, 2 Tc 2.82, 6 Ru 2.87-2.91
4 Se 0.0000 0.5000 0.2767 (multiplicity 2)  6 Ru 2.43-2.61, 2 Tc 2.44

9.
BeZn2Ni: optimized geometry, PBEsol.

Output
Calculated volume: 44.9 Å³/cell
Formation enthalpy at 0 K: -179 meV/atom

a = 2.7191 Å, b = 2.7191 Å, c = 6.0693 Å
α = 90.00°, β = 90.00°, γ = 90.00°
With the nearest neighbours (Å) after each atom.
Space group P4mm (No. 99)
One atom of each set of equivalent atoms:
1 Be 0.0000 0.0000 0.0000 (multiplicity 1)  4 Ni 2.19
2 Zn 0.0000 0.0000 0.4383 (multiplicity 1)  4 Ni 2.51, 1 Be 2.66, 8 Zn 2.68-2.72
3 Zn 0.5000 0.5000 0.7462 (multiplicity 1)  4 Be 2.46, 1 Ni 2.59, 8 Zn 2.68-2.72
4 Ni 0.5000 0.5000 0.1729 (multiplicity 1)  4 Be 2.19

10.
KNaNb3: optimized geometry, PBEsol.

Output
Calculated volume: 118.9 Å³/cell
Formation enthalpy at 0 K: 2518 meV/atom

a = 4.9170 Å, b = 4.9170 Å, c = 4.9170 Å
α = 90.00°, β = 90.00°, γ = 90.00°
With the nearest neighbours (Å) after each atom.
Space group Pm-3m (No. 221)
One atom of each set of equivalent atoms:
1 K 0.0000 0.0000 0.0000 (multiplicity 1)  12 Nb 3.48
2 Na 0.5000 0.5000 0.5000 (multiplicity 1)  6 Nb 2.46
3 Nb 0.0000 0.5000 0.5000 (multiplicity 3)  2 Na 2.46

11.
TaZnAs2: optimized geometry, PBEsol.

Output
Calculated volume: 128.1 Å³/cell
Formation enthalpy at 0 K: -11 meV/atom

a = 3.5219 Å, b = 4.6784 Å, c = 7.7726 Å
α = 90.00°, β = 90.00°, γ = 90.00°
With the nearest neighbours (Å) after each atom.
Space group Immm (No. 71)
One atom of each set of equivalent atoms:
1 Ta 0.0000 0.0000 0.0000 (multiplicity 2)  8 As 2.73-2.95, 4 Zn 2.93
2 Zn 0.0000 0.0000 0.5000 (multiplicity 2)  4 As 2.51
3 As 0.0000 0.5000 0.2308 (multiplicity 4)  2 Zn 2.51, 2 Ta 2.73

12.
Li2OsCl: optimized geometry, PBEsol.

Output
Calculated volume: 162.7 Å³/cell
Polymorph energy (0 for the lowest one): 0 meV/atom
E_form (uncorrected): -307 meV per atom

a = 2.8358 Å, b = 2.8358 Å, c = 23.3641 Å
α = 90.00°, β = 90.00°, γ = 120.00°
With the nearest neighbours (Å) after each atom.
Space group R-3m (No. 166, hexagonal axes)
One atom of each set of equivalent atoms:
1 Li 0.0000 0.0000 0.2364 (multiplicity 6)  3 Cl 2.31
2 Os 0.0000 0.0000 0.0000 (multiplicity 3)  6 Li 2.79, 6 Os 2.84
3 Cl 0.0000 0.0000 0.5000 (multiplicity 3)  6 Li 2.31

13.
MgIr2Au: optimized geometry, PBEsol.

Output
Calculated volume: 183.0 Å³/cell
Formation enthalpy at 0 K: 2 meV/atom

a = 2.7969 Å, b = 2.7969 Å, c = 27.0148 Å
α = 90.00°, β = 90.00°, γ = 120.00°
With the nearest neighbours (Å) after each atom.
Space group R3m (No. 160, hexagonal axes)
One atom of each set of equivalent atoms:
1 Mg 0.0000 0.0000 0.0000 (multiplicity 3)  3 Ir 2.73, 6 Mg 2.80, 3 Au 2.81
2 Ir 0.0000 0.0000 0.4933 (multiplicity 3)  9 Ir 2.66-2.80, 3 Au 2.87
3 Ir 0.0000 0.0000 0.7483 (multiplicity 3)  9 Ir 2.66-2.80, 3 Mg 2.73
4 Au 0.0000 0.0000 0.2480 (multiplicity 3)  6 Au 2.80, 3 Mg 2.81, 3 Ir 2.87

14.
RbSb3Mo: optimized geometry, PBEsol.

Output
Calculated volume: 149.5 Å³/cell
Polymorph energy (0 for the lowest one): 0 meV/atom
E_form (uncorrected): 193 meV per atom

a = 5.3076 Å, b = 5.3076 Å, c = 5.3076 Å
α = 90.00°, β = 90.00°, γ = 90.00°
With the nearest neighbours (Å) after each atom.
Space group Pm-3m (No. 221)
One atom of each set of equivalent atoms:
1 Rb 0.0000 0.0000 0.0000 (multiplicity 1)  12 Sb 3.75
2 Sb 0.0000 0.5000 0.5000 (multiplicity 3)  2 Mo 2.65
3 Mo 0.5000 0.5000 0.5000 (multiplicity 1)  6 Sb 2.65